# YHgOs2

A relaxed structure of YHgOs2 (PBE, Alexandria).

a = 5.075 Å, b = 5.075 Å, c = 5.209 Å
α = 77.42°, β = 77.42°, γ = 35.84°
Atoms (fractional coordinates):
Hg: 0.750 0.750 0.750
Os: 0.005 0.005 0.949
Os: 0.495 0.495 0.551
Y: 0.250 0.250 0.250

Properties
V: 76 Å³/f.u.
Formation energy: 494 meV/atom
Raw total energy: -27.25 eV for the cell shown
Crystal system: monoclinic
Space group: C2/m (12)

# ZnHgOs

A relaxed structure of ZnHgOs (PBE, Alexandria).

a = 4.256 Å, b = 4.256 Å, c = 4.256 Å
α = 60.00°, β = 60.00°, γ = 60.00°
Atoms (fractional coordinates):
Hg: 0.000 0.000 0.000
Os: 0.500 0.500 0.500
Zn: 0.750 0.750 0.750

Properties
V: 54 Å³/f.u.
Formation energy: 965 meV/atom
Raw total energy: -9.91 eV for the cell shown
Crystal system: cubic
Space group: F-43m (216)

# ZnHgOs

A relaxed structure of ZnHgOs (PBE, Alexandria).

a = 2.886 Å, b = 2.886 Å, c = 6.956 Å
α = 90.00°, β = 90.00°, γ = 120.00°
Atoms (fractional coordinates):
Hg: 0.000 0.000 0.998
Os: 0.333 0.667 0.355
Zn: 0.667 0.333 0.647

Properties
V: 50 Å³/f.u.
Formation energy: 544 meV/atom
Raw total energy: -11.17 eV for the cell shown
Crystal system: trigonal
Space group: P3m1 (156)

# ZnHg2Os

A relaxed structure of ZnHg2Os (PBE, Alexandria).

a = 10.082 Å, b = 10.082 Å, c = 10.082 Å
α = 16.77°, β = 16.77°, γ = 16.77°
Atoms (fractional coordinates):
Hg: 0.008 0.008 0.008
Hg: 0.241 0.241 0.241
Os: 0.492 0.492 0.492
Zn: 0.759 0.759 0.759

Properties
V: 74 Å³/f.u.
Formation energy: 493 meV/atom
Raw total energy: -11.13 eV for the cell shown
Crystal system: trigonal
Space group: R3m (160)

# ZnHg2Os

A relaxed structure of ZnHg2Os (PBE, Alexandria).

a = 5.263 Å, b = 5.263 Å, c = 5.263 Å
α = 135.08°, β = 135.08°, γ = 65.40°
Atoms (fractional coordinates):
Hg: 0.000 0.000 0.000
Hg: 0.250 0.750 0.500
Os: 0.500 0.500 0.000
Zn: 0.750 0.250 0.500

Properties
V: 72 Å³/f.u.
Formation energy: 682 meV/atom
Raw total energy: -10.38 eV for the cell shown
Crystal system: tetragonal
Space group: I-4m2 (119)

# ZnHg2Os

A relaxed structure of ZnHg2Os (PBE, Alexandria).

a = 2.940 Å, b = 2.940 Å, c = 8.460 Å
α = 90.00°, β = 90.00°, γ = 90.00°
Atoms (fractional coordinates):
Hg: 0.000 0.000 0.004
Hg: 0.000 0.000 0.496
Os: 0.500 0.500 0.250
Zn: 0.500 0.500 0.750

Properties
V: 73 Å³/f.u.
Formation energy: 737 meV/atom
Raw total energy: -10.16 eV for the cell shown
Crystal system: tetragonal
Space group: P4/mmm (123)

# ZnHgOs4

A relaxed structure of ZnHgOs4 (PBE, Alexandria).

a = 5.223 Å, b = 5.223 Å, c = 5.223 Å
α = 60.00°, β = 60.00°, γ = 60.00°
Atoms (fractional coordinates):
Zn: 0.750 0.750 0.750
Hg: 0.000 0.000 0.000
Os: 0.874 0.375 0.375
Os: 0.375 0.375 0.874
Os: 0.375 0.874 0.375
Os: 0.375 0.375 0.375

Properties
V: 101 Å³/f.u.
Formation energy: 909 meV/atom
Raw total energy: -41.04 eV for the cell shown
Crystal system: cubic
Space group: F-43m (216)

# ZnHg2Os

A relaxed structure of ZnHg2Os (PBE, Alexandria).

a = 5.727 Å, b = 5.049 Å, c = 2.965 Å
α = 91.17°, β = 74.46°, γ = 116.49°
Atoms (fractional coordinates):
Hg: 0.000 0.000 0.000
Hg: 0.000 0.500 0.500
Os: 0.500 0.500 0.000
Zn: 0.500 0.000 0.500

Properties
V: 73 Å³/f.u.
Formation energy: 657 meV/atom
Raw total energy: -10.48 eV for the cell shown
Crystal system: monoclinic
Space group: C2/m (12)

# ZnHgOs

A relaxed structure of ZnHgOs (PBE, Alexandria).

a = 5.314 Å, b = 5.314 Å, c = 5.314 Å
α = 150.35°, β = 135.91°, γ = 54.04°
Atoms (fractional coordinates):
Hg: 0.999 0.999 0.000
Os: 0.308 0.308 0.000
Zn: 0.693 0.693 0.000

Properties
V: 51 Å³/f.u.
Formation energy: 616 meV/atom
Raw total energy: -10.96 eV for the cell shown
Crystal system: orthorhombic
Space group: Imm2 (44)

# ZnHgOs

A relaxed structure of ZnHgOs (PBE, Alexandria).

a = 6.520 Å, b = 6.520 Å, c = 6.520 Å
α = 154.64°, β = 154.64°, γ = 36.17°
Atoms (fractional coordinates):
Hg: 0.996 0.996 0.000
Os: 0.321 0.321 0.000
Zn: 0.683 0.683 0.000

Properties
V: 51 Å³/f.u.
Formation energy: 628 meV/atom
Raw total energy: -10.92 eV for the cell shown
Crystal system: tetragonal
Space group: I4mm (107)

# ZnHg2Os

A relaxed structure of ZnHg2Os (PBE, Alexandria).

a = 2.846 Å, b = 2.846 Å, c = 11.375 Å
α = 90.00°, β = 90.00°, γ = 120.15°
Atoms (fractional coordinates):
Hg: 0.000 0.000 0.966
Hg: 0.500 0.500 0.291
Os: 0.000 0.000 0.527
Zn: 0.500 0.500 0.716

Properties
V: 80 Å³/f.u.
Formation energy: 533 meV/atom
Raw total energy: -10.97 eV for the cell shown
Crystal system: orthorhombic
Space group: Cmm2 (35)

# ZnHgOs

A relaxed structure of ZnHgOs (PBE, Alexandria).

a = 7.477 Å, b = 7.190 Å, c = 2.887 Å
α = 84.29°, β = 73.12°, γ = 22.59°
Atoms (fractional coordinates):
Hg: 0.998 0.998 0.002
Os: 0.676 0.676 0.324
Zn: 0.326 0.326 0.674

Properties
V: 51 Å³/f.u.
Formation energy: 590 meV/atom
Raw total energy: -11.04 eV for the cell shown
Crystal system: orthorhombic
Space group: Fmm2 (42)

# ZnHg2Os

A relaxed structure of ZnHg2Os (PBE, Alexandria).

a = 4.000 Å, b = 4.000 Å, c = 10.201 Å
α = 78.69°, β = 78.69°, γ = 90.00°
Atoms (fractional coordinates):
Zn: 0.500 0.500 0.000
Zn: 0.250 0.750 0.500
Os: 0.000 0.000 0.000
Os: 0.750 0.250 0.500
Hg: 0.631 0.125 0.250
Hg: 0.119 0.625 0.250
Hg: 0.375 0.369 0.750
Hg: 0.875 0.881 0.750

Properties
V: 78 Å³/f.u.
Formation energy: 842 meV/atom
Raw total energy: -19.48 eV for the cell shown
Crystal system: tetragonal
Space group: I-42d (122)

# ZnHg2Os

A relaxed structure of ZnHg2Os (PBE, Alexandria).

a = 5.136 Å, b = 2.799 Å, c = 5.091 Å
α = 90.15°, β = 90.00°, γ = 90.00°
Atoms (fractional coordinates):
Hg: 0.000 0.998 0.000
Hg: 0.000 0.502 0.500
Os: 0.500 0.250 0.250
Zn: 0.500 0.750 0.750

Properties
V: 73 Å³/f.u.
Formation energy: 690 meV/atom
Raw total energy: -10.35 eV for the cell shown
Crystal system: monoclinic
Space group: P2/m (10)

# ZnHg2Os

A relaxed structure of ZnHg2Os (PBE, Alexandria).

a = 4.134 Å, b = 4.134 Å, c = 4.097 Å
α = 90.00°, β = 90.00°, γ = 90.00°
Atoms (fractional coordinates):
Hg: 0.000 0.000 0.000
Hg: 0.500 0.500 0.000
Os: 0.500 0.000 0.500
Zn: 0.000 0.500 0.500

Properties
V: 70 Å³/f.u.
Formation energy: 606 meV/atom
Raw total energy: -10.69 eV for the cell shown
Crystal system: tetragonal
Space group: P4/mmm (123)

# ZnHg2Os

A relaxed structure of ZnHg2Os (PBE, Alexandria).

a = 2.974 Å, b = 2.974 Å, c = 8.525 Å
α = 90.00°, β = 90.00°, γ = 90.00°
Atoms (fractional coordinates):
Hg: 0.000 0.000 0.976
Hg: 0.500 0.500 0.289
Os: 0.000 0.000 0.527
Zn: 0.500 0.500 0.708

Properties
V: 75 Å³/f.u.
Formation energy: 528 meV/atom
Raw total energy: -11.00 eV for the cell shown
Crystal system: tetragonal
Space group: P4mm (99)

# ZnHg2Os

A relaxed structure of ZnHg2Os (PBE, Alexandria).

a = 9.483 Å, b = 9.483 Å, c = 9.483 Å
α = 18.14°, β = 18.14°, γ = 18.14°
Atoms (fractional coordinates):
Hg: 0.001 0.001 0.001
Hg: 0.499 0.499 0.499
Os: 0.250 0.250 0.250
Zn: 0.750 0.750 0.750

Properties
V: 72 Å³/f.u.
Formation energy: 655 meV/atom
Raw total energy: -10.49 eV for the cell shown
Crystal system: trigonal
Space group: R-3m (166)

# ZnHg2Os

A relaxed structure of ZnHg2Os (PBE, Alexandria).

a = 3.001 Å, b = 3.001 Å, c = 9.673 Å
α = 90.00°, β = 90.00°, γ = 122.72°
Atoms (fractional coordinates):
Hg: 0.000 0.000 0.998
Hg: 0.000 0.000 0.502
Os: 0.500 0.500 0.250
Zn: 0.500 0.500 0.750

Properties
V: 73 Å³/f.u.
Formation energy: 663 meV/atom
Raw total energy: -10.45 eV for the cell shown
Crystal system: orthorhombic
Space group: Cmmm (65)

# Zn4HgOs

A relaxed structure of Zn4HgOs (PBE, Alexandria).

a = 5.042 Å, b = 5.042 Å, c = 5.042 Å
α = 60.00°, β = 60.00°, γ = 60.00°
Atoms (fractional coordinates):
Zn: 0.878 0.374 0.374
Zn: 0.374 0.374 0.878
Zn: 0.374 0.878 0.374
Zn: 0.374 0.374 0.374
Hg: 0.750 0.750 0.750
Os: 0.000 0.000 0.000

Properties
V: 91 Å³/f.u.
Formation energy: 353 meV/atom
Raw total energy: -14.51 eV for the cell shown
Crystal system: cubic
Space group: F-43m (216)

# ZnHg2Os

A relaxed structure of ZnHg2Os (PBE, Alexandria).

a = 5.340 Å, b = 5.340 Å, c = 5.340 Å
α = 139.81°, β = 132.74°, γ = 63.73°
Atoms (fractional coordinates):
Hg: 0.007 0.007 0.000
Hg: 0.493 0.493 0.000
Os: 0.750 0.250 0.500
Zn: 0.250 0.750 0.500

Properties
V: 71 Å³/f.u.
Formation energy: 697 meV/atom
Raw total energy: -10.32 eV for the cell shown
Crystal system: orthorhombic
Space group: Immm (71)